Entry 1:
## CsPrO3 (PBE-GGA)

Data for crystalline CsPrO3 at its relaxed geometry.

Properties
Crystal system: cubic
ΔE_f (raw) in meV/atom: -1715

Lattice parameters (Å, degrees): 4.7625 4.7625 4.7625 90.00 90.00 90.00
Positions (direct):
Cs (0.0000, 0.0000, 0.0000)
Pr (0.5000, 0.5000, 0.5000)
O (0.0000, 0.5000, 0.5000)
O (0.5000, 0.0000, 0.5000)
O (0.5000, 0.5000, 0.0000)

---

Entry 2:
## Ti2TcHOs (PBE-GGA)

Data for crystalline Ti2TcHOs at its relaxed geometry.

Properties
Crystal system: tetragonal
E in eV/atom: -8.570

Lattice parameters (Å, degrees): 4.3798 4.3798 3.2729 90.00 90.00 90.00
Positions (direct):
Ti (0.0000, 0.5000, 0.0000)
Ti (0.5000, 0.0000, 0.0000)
Tc (0.0000, 0.0000, 0.5000)
H (0.0000, 0.0000, 0.0000)
Os (0.5000, 0.5000, 0.5000)

---

Entry 3:
## Co6ReNi8 (PBE-GGA)

Data for crystalline Co6ReNi8 at its relaxed geometry.

Properties
Crystal system: trigonal
E_form in eV/atom: 0.108

Lattice parameters (Å, degrees): 6.1859 6.1859 6.1859 60.96 60.96 60.96
Positions (direct):
Co (0.0367, 0.5622, 0.7795)
Co (0.2205, 0.9633, 0.4378)
Co (0.4378, 0.2205, 0.9633)
Co (0.5622, 0.7795, 0.0367)
Co (0.7795, 0.0367, 0.5622)
Co (0.9633, 0.4378, 0.2205)
Re (0.5000, 0.5000, 0.5000)
Ni (0.0799, 0.0799, 0.0799)
Ni (0.1635, 0.6213, 0.3115)
Ni (0.3115, 0.1635, 0.6213)
Ni (0.3787, 0.6885, 0.8365)
Ni (0.6213, 0.3115, 0.1635)
Ni (0.6885, 0.8365, 0.3787)
Ni (0.8365, 0.3787, 0.6885)
Ni (0.9201, 0.9201, 0.9201)

---

Entry 4:
## Na2CuO2 (PBE-GGA)

Data for crystalline Na2CuO2 at its relaxed geometry.

Properties
Crystal system: orthorhombic
ΔE_f (raw) in meV/atom: -1048

Lattice parameters (Å, degrees): 5.6494 5.6494 5.6494 149.25 132.63 57.55
Positions (direct):
Na (0.1861, 0.1861, 0.0000)
Na (0.8139, 0.8139, 0.0000)
Cu (0.5000, 0.5000, 0.0000)
O (0.3676, 0.8676, 0.5000)
O (0.6324, 0.1324, 0.5000)